Crystalline Ta3BeH4 at its relaxed geometry. Source: Alexandria, functional PBE-GGA.

Values from the calculation:
Its spin magnetization is 0.000 μB/f.u. The value obtained for the energy is -6.49 eV/atom.

CIF file:
```
data_Ta3BeH4
_symmetry_space_group_name_H-M 'P 1'
_symmetry_Int_Tables_number 1
_cell_length_a 5.874
_cell_length_b 4.974
_cell_length_c 5.379
_cell_angle_alpha 90.00
_cell_angle_beta 90.00
_cell_angle_gamma 90.00
loop_
_symmetry_equiv_pos_as_xyz
'x,y,z'
loop_
_atom_site_label
_atom_site_type_symbol
_atom_site_fract_x
_atom_site_fract_y
_atom_site_fract_z
Ta1 Ta 0.000 0.195 0.000
Ta2 Ta 0.234 0.337 0.490
Ta3 Ta 0.266 0.663 0.990
Ta4 Ta 0.500 0.805 0.500
Ta5 Ta 0.734 0.663 0.990
Ta6 Ta 0.766 0.337 0.490
Be1 Be 0.000 0.846 0.578
Be2 Be 0.500 0.154 0.078
H1 H 0.000 0.100 0.354
H2 H 0.000 0.843 0.867
H3 H 0.216 0.696 0.351
H4 H 0.284 0.304 0.851
H5 H 0.500 0.157 0.367
H6 H 0.500 0.900 0.854
H7 H 0.716 0.304 0.851
H8 H 0.784 0.696 0.351
```

Crystalline PaAl2Pd at its relaxed geometry. Source: Alexandria, functional PBE-GGA.

Values from the calculation:
Its energy relative to the elements is -380 meV per atom. Its spin magnetization is 0.000 μB/f.u.

CIF file:
```
data_PaAl2Pd
_symmetry_space_group_name_H-M 'P 1'
_symmetry_Int_Tables_number 1
_cell_length_a 9.459
_cell_length_b 9.459
_cell_length_c 9.459
_cell_angle_alpha 18.36
_cell_angle_beta 18.36
_cell_angle_gamma 18.36
loop_
_symmetry_equiv_pos_as_xyz
'x,y,z'
loop_
_atom_site_label
_atom_site_type_symbol
_atom_site_fract_x
_atom_site_fract_y
_atom_site_fract_z
Pa1 Pa 0.000 0.000 0.000
Al1 Al 0.238 0.238 0.238
Al2 Al 0.762 0.762 0.762
Pd1 Pd 0.500 0.500 0.500
```

Crystalline CsTiAg2I6 at its relaxed geometry. Source: Alexandria, functional PBE-GGA.

Values from the calculation:
Its spin magnetization is 1.000 μB/f.u. Its uncorrected formation energy is -6.633 eV/f.u.

CIF file:
```
data_CsTiAg2I6
_symmetry_space_group_name_H-M 'P 1'
_symmetry_Int_Tables_number 1
_cell_length_a 10.777
_cell_length_b 10.777
_cell_length_c 9.160
_cell_angle_alpha 107.99
_cell_angle_beta 107.99
_cell_angle_gamma 84.39
loop_
_symmetry_equiv_pos_as_xyz
'x,y,z'
loop_
_atom_site_label
_atom_site_type_symbol
_atom_site_fract_x
_atom_site_fract_y
_atom_site_fract_z
Cs1 Cs 0.169 0.831 0.750
Cs2 Cs 0.831 0.169 0.250
Ti1 Ti 0.180 0.820 0.250
Ti2 Ti 0.820 0.180 0.750
Ag1 Ag 0.381 0.482 0.868
Ag2 Ag 0.482 0.381 0.368
Ag3 Ag 0.518 0.619 0.632
Ag4 Ag 0.619 0.518 0.132
I1 I 0.041 0.188 0.685
I2 I 0.162 0.605 0.004
I3 I 0.188 0.041 0.185
I4 I 0.286 0.448 0.532
I5 I 0.395 0.838 0.496
I6 I 0.448 0.286 0.032
I7 I 0.552 0.714 0.968
I8 I 0.605 0.162 0.504
I9 I 0.714 0.552 0.468
I10 I 0.812 0.959 0.815
I11 I 0.838 0.395 0.996
I12 I 0.959 0.812 0.315
```

Repeat the second record exactly.
Crystalline PaAl2Pd at its relaxed geometry. Source: Alexandria, functional PBE-GGA.

Values from the calculation:
Its energy relative to the elements is -380 meV per atom. Its spin magnetization is 0.000 μB/f.u.

CIF file:
```
data_PaAl2Pd
_symmetry_space_group_name_H-M 'P 1'
_symmetry_Int_Tables_number 1
_cell_length_a 9.459
_cell_length_b 9.459
_cell_length_c 9.459
_cell_angle_alpha 18.36
_cell_angle_beta 18.36
_cell_angle_gamma 18.36
loop_
_symmetry_equiv_pos_as_xyz
'x,y,z'
loop_
_atom_site_label
_atom_site_type_symbol
_atom_site_fract_x
_atom_site_fract_y
_atom_site_fract_z
Pa1 Pa 0.000 0.000 0.000
Al1 Al 0.238 0.238 0.238
Al2 Al 0.762 0.762 0.762
Pd1 Pd 0.500 0.500 0.500
```

Question: Which of these has the highest spin magnetization?
Answer: CsTiAg2I6